(1)
The following is a DFT calculation (SCAN) of Cr3Co2O12 at its PBEsol-relaxed geometry.

Summary:
Symmetry = No. 60
Total magnetic moment = 0.00 μB per cell
Energy above the lowest structure with this stoichiometry = 0.005 eV/atom
Raw formation energy = -1.643 eV per atom

Geometry as CIF:
```
data_Cr3Co2O12
_cell_length_a 8.6287
_cell_length_b 8.5845
_cell_length_c 11.7668
_cell_angle_alpha 90.00
_cell_angle_beta 90.00
_cell_angle_gamma 90.00
_space_group_name_H-M_alt 'P 1'
_space_group_IT_number 1
_space_group_name_Hall 'P 1'
loop_
_atom_site_label
_atom_site_type_symbol
_atom_site_fract_x
_atom_site_fract_y
_atom_site_fract_z
Cr1 Cr 0.7500 0.0228 0.0000
Cr2 Cr 0.2500 0.9772 0.0000
Cr3 Cr 0.3777 0.4030 0.1461
Cr4 Cr 0.8777 0.5970 0.1461
Cr5 Cr 0.8777 0.0970 0.3539
Cr6 Cr 0.3777 0.9030 0.3539
Cr7 Cr 0.2500 0.4772 0.5000
Cr8 Cr 0.7500 0.5228 0.5000
Cr9 Cr 0.6223 0.0970 0.6461
Cr10 Cr 0.1223 0.9030 0.6461
Cr11 Cr 0.1223 0.4030 0.8539
Cr12 Cr 0.6223 0.5970 0.8539
Co1 Co 0.0397 0.2502 0.1194
Co2 Co 0.5397 0.7498 0.1194
Co3 Co 0.5397 0.2498 0.3806
Co4 Co 0.0397 0.7502 0.3806
Co5 Co 0.9603 0.2498 0.6194
Co6 Co 0.4603 0.7502 0.6194
Co7 Co 0.4603 0.2502 0.8806
Co8 Co 0.9603 0.7498 0.8806
O1 O 0.4139 0.3273 0.0211
O2 O 0.9139 0.6727 0.0211
O3 O 0.6811 0.9097 0.1028
O4 O 0.1811 0.0903 0.1028
O5 O 0.8869 0.1259 0.0605
O6 O 0.3869 0.8741 0.0605
O7 O 0.8952 0.4044 0.1437
O8 O 0.3952 0.5956 0.1437
O9 O 0.1934 0.3718 0.1807
O10 O 0.6934 0.6282 0.1807
O11 O 0.5008 0.3260 0.2376
O12 O 0.0008 0.6740 0.2376
O13 O 0.0008 0.1740 0.2624
O14 O 0.5008 0.8260 0.2624
O15 O 0.1934 0.8718 0.3193
O16 O 0.6934 0.1282 0.3193
O17 O 0.3952 0.0956 0.3563
O18 O 0.8952 0.9044 0.3563
O19 O 0.3869 0.3741 0.4395
O20 O 0.8869 0.6259 0.4395
O21 O 0.6811 0.4097 0.3972
O22 O 0.1811 0.5903 0.3972
O23 O 0.4139 0.8273 0.4789
O24 O 0.9139 0.1727 0.4789
O25 O 0.5861 0.1727 0.5211
O26 O 0.0861 0.8273 0.5211
O27 O 0.8189 0.4097 0.6028
O28 O 0.3189 0.5903 0.6028
O29 O 0.1131 0.3741 0.5605
O30 O 0.6131 0.6259 0.5605
O31 O 0.1048 0.0956 0.6437
O32 O 0.6048 0.9044 0.6437
O33 O 0.8066 0.1282 0.6807
O34 O 0.3066 0.8718 0.6807
O35 O 0.4992 0.1740 0.7376
O36 O 0.9992 0.8260 0.7376
O37 O 0.9992 0.3260 0.7624
O38 O 0.4992 0.6740 0.7624
O39 O 0.3066 0.3718 0.8193
O40 O 0.8066 0.6282 0.8193
O41 O 0.6048 0.4044 0.8563
O42 O 0.1048 0.5956 0.8563
O43 O 0.6131 0.1259 0.9395
O44 O 0.1131 0.8741 0.9395
O45 O 0.3189 0.0903 0.8972
O46 O 0.8189 0.9097 0.8972
O47 O 0.0861 0.3273 0.9789
O48 O 0.5861 0.6727 0.9789
```

(2)
The following is a DFT calculation (SCAN) of Cr2CoO4 at its PBEsol-relaxed geometry.

Summary:
Symmetry = No. 227
Total magnetic moment = 17.99 μB per cell
Raw formation energy = -2.217 eV per atom

Geometry as CIF:
```
data_Cr2CoO4
_cell_length_a 5.8543
_cell_length_b 5.8543
_cell_length_c 5.8543
_cell_angle_alpha 60.00
_cell_angle_beta 60.00
_cell_angle_gamma 60.00
_space_group_name_H-M_alt 'P 1'
_space_group_IT_number 1
_space_group_name_Hall 'P 1'
loop_
_atom_site_label
_atom_site_type_symbol
_atom_site_fract_x
_atom_site_fract_y
_atom_site_fract_z
Cr1 Cr 0.1250 0.6250 0.1250
Cr2 Cr 0.1250 0.1250 0.6250
Cr3 Cr 0.1250 0.1250 0.1250
Cr4 Cr 0.6250 0.1250 0.1250
Co1 Co 0.7500 0.7500 0.7500
Co2 Co 0.5000 0.5000 0.5000
O1 O 0.9080 0.3640 0.3640
O2 O 0.8860 0.8860 0.8860
O3 O 0.8860 0.3420 0.8860
O4 O 0.8860 0.8860 0.3420
O5 O 0.3640 0.9080 0.3640
O6 O 0.3640 0.3640 0.9080
O7 O 0.3420 0.8860 0.8860
O8 O 0.3640 0.3640 0.3640
```

(3)
The following is a DFT calculation (SCAN) of Cr3CoP6O24 at its PBEsol-relaxed geometry.

Summary:
Symmetry = No. 146
Total magnetic moment = 3.00 μB per cell
Raw formation energy = -2.102 eV per atom

Geometry as CIF:
```
data_Cr3CoP6O24
_cell_length_a 8.1397
_cell_length_b 8.1397
_cell_length_c 8.5110
_cell_angle_alpha 61.43
_cell_angle_beta 61.43
_cell_angle_gamma 60.00
_space_group_name_H-M_alt 'P 1'
_space_group_IT_number 1
_space_group_name_Hall 'P 1'
loop_
_atom_site_label
_atom_site_type_symbol
_atom_site_fract_x
_atom_site_fract_y
_atom_site_fract_z
Cr1 Cr 0.3598 0.3598 0.9205
Cr2 Cr 0.1450 0.1450 0.5649
Cr3 Cr 0.6385 0.6385 0.0844
Co1 Co 0.8535 0.8535 0.4396
P1 P 0.4764 0.7473 0.7451
P2 P 0.7473 0.0312 0.7451
P3 P 0.0312 0.4764 0.7451
P4 P 0.9669 0.5350 0.2541
P5 P 0.2440 0.9669 0.2541
P6 P 0.5350 0.2440 0.2541
O1 O 0.6943 0.8706 0.9334
O2 O 0.8706 0.5017 0.9334
O3 O 0.5017 0.6943 0.9334
O4 O 0.3153 0.9564 0.7094
O5 O 0.4002 0.5967 0.7667
O6 O 0.6771 0.7185 0.5857
O7 O 0.9564 0.0189 0.7094
O8 O 0.5967 0.2364 0.7667
O9 O 0.2364 0.4002 0.7667
O10 O 0.9852 0.3326 0.4139
O11 O 0.9921 0.6894 0.2852
O12 O 0.2683 0.9852 0.4139
O13 O 0.7185 0.0188 0.5857
O14 O 0.0189 0.3153 0.7094
O15 O 0.0188 0.6771 0.5857
O16 O 0.7613 0.6049 0.2350
O17 O 0.3989 0.7613 0.2350
O18 O 0.0333 0.9921 0.2852
O19 O 0.3326 0.2683 0.4139
O20 O 0.6049 0.3989 0.2350
O21 O 0.6894 0.0333 0.2852
O22 O 0.4998 0.3045 0.0684
O23 O 0.1273 0.4998 0.0684
O24 O 0.3045 0.1273 0.0684
```

(4)
The following is a DFT calculation (SCAN) of Cr3CoP4O16 at its PBEsol-relaxed geometry.

Summary:
Symmetry = No. 6
Total magnetic moment = 9.00 μB per cell
Raw formation energy = -2.361 eV per atom

Geometry as CIF:
```
data_Cr3CoP4O16
_cell_length_a 4.6341
_cell_length_b 5.5340
_cell_length_c 9.6863
_cell_angle_alpha 90.00
_cell_angle_beta 89.79
_cell_angle_gamma 90.00
_space_group_name_H-M_alt 'P 1'
_space_group_IT_number 1
_space_group_name_Hall 'P 1'
loop_
_atom_site_label
_atom_site_type_symbol
_atom_site_fract_x
_atom_site_fract_y
_atom_site_fract_z
Cr1 Cr 0.5447 0.0000 0.7678
Cr2 Cr 0.4516 0.5000 0.2338
Cr3 Cr 0.0460 0.5000 0.7293
Co1 Co 0.9537 0.0000 0.2683
P1 P 0.8903 0.5000 0.4113
P2 P 0.6073 0.5000 0.9123
P3 P 0.3962 0.0000 0.0930
P4 P 0.1076 0.0000 0.5826
O1 O 0.8156 0.5000 0.5637
O2 O 0.7349 0.2837 0.3327
O3 O 0.7349 0.7163 0.3327
O4 O 0.7845 0.0000 0.6077
O5 O 0.7219 0.0000 0.1116
O6 O 0.7652 0.2853 0.8338
O7 O 0.7652 0.7147 0.8338
O8 O 0.6750 0.5000 0.0652
O9 O 0.3274 0.0000 0.9400
O10 O 0.2336 0.7860 0.1712
O11 O 0.2336 0.2140 0.1712
O12 O 0.2845 0.5000 0.8889
O13 O 0.2152 0.5000 0.3923
O14 O 0.2645 0.7861 0.6631
O15 O 0.2645 0.2139 0.6631
O16 O 0.1821 0.0000 0.4303
```

(5)
The following is a DFT calculation (SCAN) of V3CrCo2P6O24 at its PBEsol-relaxed geometry.

Summary:
Symmetry = No. 146
Total magnetic moment = 12.14 μB per cell
Raw formation energy = -2.375 eV per atom

Geometry as CIF:
```
data_V3CrCo2P6O24
_cell_length_a 8.3190
_cell_length_b 8.3190
_cell_length_c 8.3190
_cell_angle_alpha 61.41
_cell_angle_beta 61.41
_cell_angle_gamma 61.41
_space_group_name_H-M_alt 'P 1'
_space_group_IT_number 1
_space_group_name_Hall 'P 1'
loop_
_atom_site_label
_atom_site_type_symbol
_atom_site_fract_x
_atom_site_fract_y
_atom_site_fract_z
V1 V 0.3597 0.3597 0.3597
V2 V 0.1395 0.1395 0.1395
V3 V 0.6396 0.6396 0.6396
Cr1 Cr 0.8615 0.8615 0.8615
Co1 Co 0.0008 0.0008 0.0008
Co2 Co 0.4988 0.4988 0.4988
P1 P 0.7504 0.0399 0.4616
P2 P 0.0399 0.4616 0.7504
P3 P 0.4616 0.7504 0.0399
P4 P 0.5413 0.2493 0.9587
P5 P 0.9587 0.5413 0.2493
P6 P 0.2493 0.9587 0.5413
O1 O 0.8789 0.5006 0.6825
O2 O 0.5006 0.6825 0.8789
O3 O 0.6825 0.8789 0.5006
O4 O 0.9116 0.0553 0.2598
O5 O 0.8158 0.0039 0.6200
O6 O 0.5884 0.2410 0.4406
O7 O 0.0553 0.2598 0.9116
O8 O 0.2410 0.4406 0.5884
O9 O 0.3783 0.1828 0.0014
O10 O 0.4406 0.5884 0.2410
O11 O 0.7409 0.0896 0.9466
O12 O 0.0014 0.3783 0.1828
O13 O 0.0039 0.6200 0.8158
O14 O 0.2598 0.9116 0.0553
O15 O 0.5557 0.4113 0.7584
O16 O 0.6200 0.8158 0.0039
O17 O 0.7584 0.5557 0.4113
O18 O 0.9466 0.7409 0.0896
O19 O 0.4113 0.7584 0.5557
O20 O 0.1828 0.0014 0.3783
O21 O 0.0896 0.9466 0.7409
O22 O 0.3207 0.1197 0.4951
O23 O 0.4951 0.3207 0.1197
O24 O 0.1197 0.4951 0.3207
```

(6)
The following is a DFT calculation (SCAN) of Cr3Co3Te2O16 at its PBEsol-relaxed geometry.

Summary:
Symmetry = No. 8
Total magnetic moment = 7.00 μB per cell
Raw formation energy = -1.570 eV per atom

Geometry as CIF:
```
data_Cr3Co3Te2O16
_cell_length_a 5.6462
_cell_length_b 5.6462
_cell_length_c 9.1739
_cell_angle_alpha 88.50
_cell_angle_beta 88.50
_cell_angle_gamma 60.33
_space_group_name_H-M_alt 'P 1'
_space_group_IT_number 1
_space_group_name_Hall 'P 1'
loop_
_atom_site_label
_atom_site_type_symbol
_atom_site_fract_x
_atom_site_fract_y
_atom_site_fract_z
Cr1 Cr 0.1779 0.6566 0.7810
Cr2 Cr 0.6566 0.1779 0.7810
Cr3 Cr 0.8293 0.8293 0.2779
Co1 Co 0.1723 0.1723 0.7884
Co2 Co 0.3439 0.8324 0.2875
Co3 Co 0.8324 0.3439 0.2875
Te1 Te 0.3296 0.3296 0.5042
Te2 Te 0.6634 0.6634 0.0091
O1 O 0.1592 0.6765 0.4016
O2 O 0.4860 0.4860 0.6522
O3 O 0.3336 0.3336 0.8943
O4 O 0.0028 0.0028 0.6974
O5 O 0.0034 0.0034 0.1989
O6 O 0.6765 0.1592 0.4016
O7 O 0.0332 0.4786 0.6635
O8 O 0.4786 0.0332 0.6635
O9 O 0.8339 0.8339 0.8991
O10 O 0.1568 0.1568 0.4032
O11 O 0.5134 0.9701 0.1588
O12 O 0.9701 0.5134 0.1588
O13 O 0.6669 0.6669 0.3917
O14 O 0.3232 0.8360 0.9036
O15 O 0.5172 0.5172 0.1755
O16 O 0.8360 0.3232 0.9036
```